The following is a DFT calculation (PBE) of a geometry-optimized Pa2ZnH structure.

Lattice parameters (Å, degrees): 2.9893 2.9893 7.5116 90.00 90.00 90.00
Closest atoms and distances in Å follow each position.
Atoms (fractional coordinates):
H 0.5000 0.5000 0.0000  8 Pa 2.57
Zn 0.5000 0.5000 0.5000  4 Zn 2.99, 8 Pa 3.12
Pa 0.0000 0.0000 0.8064  4 H 2.57
Pa 0.0000 0.0000 0.1936  4 H 2.57

Density (g/cm³): 13.07
SG: P4/mmm
Magnetization (μB per formula unit): 0.00
E (eV/atom): -5.7741
Energy above the most stable polymorph in this dataset (eV/atom): 0.197